1.
Computed, not measured: a geometry-optimized PmNd2ScP4 structure at the PBE level of DFT.

Cell and atoms, written as CIF:
```
data_PmNd2ScP4
_chemical_formula_sum 'Pm1 Nd2 Sc1 P4'
_cell_length_a 7.032
_cell_length_b 4.072
_cell_length_c 7.034
_cell_angle_alpha 90.00
_cell_angle_beta 109.48
_cell_angle_gamma 90.00
_symmetry_space_group_name_H-M 'P 1 2/m 1'
_symmetry_Int_Tables_number 10
loop_
_symmetry_equiv_pos_as_xyz
'x,y,z'
'-x,-y,-z'
'-x,y,-z'
'x,-y,z'
loop_
_atom_site_label
_atom_site_fract_x
_atom_site_fract_y
_atom_site_fract_z
Pm1 0.000 0.000 0.000
Nd1 0.500 0.000 0.500
Nd2 0.500 0.500 0.000
Sc1 0.000 0.500 0.500
P1 0.233 0.000 0.735
P2 0.241 0.500 0.257
```

As for the crystal system: monoclinic. The calculation puts the energy of formation from the pure elements at -1.49 eV/atom.

2.
Computed, not measured: a geometry-optimized PmNd2Sm3P6 structure at the PBE level of DFT.

Cell and atoms, written as CIF:
```
data_PmNd2Sm3P6
_chemical_formula_sum 'Pm2 Nd4 Sm6 P12'
_cell_length_a 18.006
_cell_length_b 4.134
_cell_length_c 8.262
_cell_angle_alpha 90.00
_cell_angle_beta 103.27
_cell_angle_gamma 90.00
_symmetry_space_group_name_H-M 'C 1 2/m 1'
_symmetry_Int_Tables_number 12
loop_
_symmetry_equiv_pos_as_xyz
'x,y,z'
'-x,-y,-z'
'-x,y,-z'
'x,-y,z'
'x+1/2,y+1/2,z'
'-x+1/2,-y+1/2,-z'
'-x+1/2,y+1/2,-z'
'x+1/2,-y+1/2,z'
loop_
_atom_site_label
_atom_site_fract_x
_atom_site_fract_y
_atom_site_fract_z
Pm1 0.000 0.000 0.000
Nd1 0.166 0.500 0.333
Sm1 0.000 0.000 0.500
Sm2 0.167 0.500 0.833
P1 0.001 0.500 0.750
P2 0.166 0.000 0.585
P3 0.167 0.000 0.081
```

As for the crystal system: monoclinic. The calculation puts the energy of formation from the pure elements at -1.56 eV/atom.

3.
Computed, not measured: a geometry-optimized Pm3Nd2SmP6 structure at the PBE level of DFT.

Cell and atoms, written as CIF:
```
data_Pm3Nd2SmP6
_chemical_formula_sum 'Pm6 Nd4 Sm2 P12'
_cell_length_a 18.041
_cell_length_b 4.142
_cell_length_c 8.278
_cell_angle_alpha 90.00
_cell_angle_beta 103.28
_cell_angle_gamma 90.00
_symmetry_space_group_name_H-M 'C 1 2/m 1'
_symmetry_Int_Tables_number 12
loop_
_symmetry_equiv_pos_as_xyz
'x,y,z'
'-x,-y,-z'
'-x,y,-z'
'x,-y,z'
'x+1/2,y+1/2,z'
'-x+1/2,-y+1/2,-z'
'-x+1/2,y+1/2,-z'
'x+1/2,-y+1/2,z'
loop_
_atom_site_label
_atom_site_fract_x
_atom_site_fract_y
_atom_site_fract_z
Pm1 0.000 0.000 0.000
Pm2 0.167 0.500 0.334
Nd1 0.166 0.500 0.833
Sm1 0.000 0.000 0.500
P1 0.001 0.500 0.251
P2 0.166 0.000 0.085
P3 0.166 0.000 0.582
```

As for the crystal system: monoclinic. The calculation puts the energy of formation from the pure elements at -1.56 eV/atom.

4.
Computed, not measured: a geometry-optimized PmNdSm2P4 structure at the PBE level of DFT.

Cell and atoms, written as CIF:
```
data_PmNdSm2P4
_chemical_formula_sum 'Pm1 Nd1 Sm2 P4'
_cell_length_a 7.149
_cell_length_b 4.131
_cell_length_c 7.150
_cell_angle_alpha 90.00
_cell_angle_beta 109.45
_cell_angle_gamma 90.00
_symmetry_space_group_name_H-M 'P 1 2/m 1'
_symmetry_Int_Tables_number 10
loop_
_symmetry_equiv_pos_as_xyz
'x,y,z'
'-x,-y,-z'
'-x,y,-z'
'x,-y,z'
loop_
_atom_site_label
_atom_site_fract_x
_atom_site_fract_y
_atom_site_fract_z
Pm1 0.000 0.000 0.000
Nd1 0.000 0.500 0.500
Sm1 0.500 0.000 0.500
Sm2 0.500 0.500 0.000
P1 0.252 0.500 0.250
P2 0.253 0.000 0.752
```

As for the crystal system: monoclinic. The calculation puts the energy of formation from the pure elements at -1.56 eV/atom.

5.
Computed, not measured: a geometry-optimized Pm2NdSm3P6 structure at the PBE level of DFT.

Cell and atoms, written as CIF:
```
data_Pm2NdSm3P6
_chemical_formula_sum 'Pm4 Nd2 Sm6 P12'
_cell_length_a 7.146
_cell_length_b 12.375
_cell_length_c 7.146
_cell_angle_alpha 90.00
_cell_angle_beta 109.45
_cell_angle_gamma 90.00
_symmetry_space_group_name_H-M 'C 1 2/m 1'
_symmetry_Int_Tables_number 12
loop_
_symmetry_equiv_pos_as_xyz
'x,y,z'
'-x,-y,-z'
'-x,y,-z'
'x,-y,z'
'x+1/2,y+1/2,z'
'-x+1/2,-y+1/2,-z'
'-x+1/2,y+1/2,-z'
'x+1/2,-y+1/2,z'
loop_
_atom_site_label
_atom_site_fract_x
_atom_site_fract_y
_atom_site_fract_z
Pm1 0.000 0.167 0.000
Nd1 0.000 0.500 0.000
Sm1 0.000 0.000 0.500
Sm2 0.000 0.333 0.500
P1 0.249 0.167 0.748
P2 0.250 0.000 0.252
```

As for the crystal system: monoclinic. The calculation puts the energy of formation from the pure elements at -1.56 eV/atom.

6.
Computed, not measured: a geometry-optimized TbPm2NdP4 structure at the PBE level of DFT.

Cell and atoms, written as CIF:
```
data_TbPm2NdP4
_chemical_formula_sum 'Tb1 Pm2 Nd1 P4'
_cell_length_a 7.126
_cell_length_b 4.118
_cell_length_c 7.127
_cell_angle_alpha 90.00
_cell_angle_beta 109.45
_cell_angle_gamma 90.00
_symmetry_space_group_name_H-M 'P 1 2/m 1'
_symmetry_Int_Tables_number 10
loop_
_symmetry_equiv_pos_as_xyz
'x,y,z'
'-x,-y,-z'
'-x,y,-z'
'x,-y,z'
loop_
_atom_site_label
_atom_site_fract_x
_atom_site_fract_y
_atom_site_fract_z
Tb1 0.000 0.000 0.000
Pm1 0.000 0.500 0.500
Pm2 0.500 0.000 0.500
Nd1 0.500 0.500 0.000
P1 0.245 0.500 0.247
P2 0.247 0.000 0.751
```

As for the crystal system: monoclinic. The calculation puts the energy of formation from the pure elements at -1.56 eV/atom.